Density functional theory data (GGA-PBE) for La2CuPd2 after structural relaxation.

Cell lengths 4.285, 5.951, 10.139 Å; angles 86.10, 77.80, 68.90 degrees
Fractional coordinates of all 10 atoms:
1 Pd 0.355 0.177 0.114
2 Cu 0.603 0.117 0.676
3 Cu 0.397 0.883 0.324
4 La 0.685 0.277 0.354
5 Pd 0.645 0.823 0.886
6 La 0.081 0.731 0.107
7 Pd 0.939 0.702 0.421
8 Pd 0.061 0.298 0.579
9 La 0.919 0.269 0.893
10 La 0.315 0.723 0.646

Results
The value obtained for the total magnetic moment is 0.0 μB/f.u. Its density of states at the Fermi level is 3.5 states/eV/f.u. The energy is -5.5120 eV/atom.